Density functional theory data (GGA-PBE) for crystalline BaPm4Rh4 at its relaxed geometry.

## Properties
Density: 7449 kg/m³
ΔE_f: -0.50 eV/atom
Calculated volume: 27.96 A^3/atom
DFT total energy: -6.095 eV per atom
Space group: P4_2/n

```
18
Lattice="9.410 0.000 0.000 0.000 9.410 0.000 0.000 0.000 5.684" Properties=species:S:1:pos:R:3 pbc="T T T"
Ba 2.353 2.353 1.421
Ba 7.058 7.058 4.263
Pm 0.825 6.084 0.944
Pm 1.379 8.586 3.786
Pm 3.327 5.530 3.786
Pm 3.881 8.032 0.944
Pm 5.530 1.379 4.740
Pm 6.084 3.881 1.898
Pm 8.032 0.825 1.898
Pm 8.586 3.327 4.740
Rh 0.528 5.715 3.769
Rh 1.010 8.882 0.927
Rh 3.695 5.233 0.927
Rh 4.177 8.400 3.769
Rh 5.233 1.010 1.915
Rh 5.715 4.177 4.757
Rh 8.400 0.528 4.757
Rh 8.882 3.695 1.915
```

---

Density functional theory data (GGA-PBE) for crystalline BaPmRh at its relaxed geometry.

## Properties
Density: 5838 kg/m³
ΔE_f: -0.32 eV/atom
Calculated volume: 36.52 A^3/atom
Offset from the most stable computed form: 0.173 eV/f.u.
DFT total energy: -4.991 eV per atom
Space group: P3m1

```
3
Lattice="4.261 0.000 0.000 -2.130 3.690 0.000 0.000 0.000 6.969" Properties=species:S:1:pos:R:3 pbc="T T T"
Ba 0.000 0.000 0.000
Pm 2.130 1.230 3.261
Rh 0.000 2.460 1.949
```

---

Density functional theory data (GGA-PBE) for crystalline BaPm2Rh at its relaxed geometry.

## Properties
Density: 5886 kg/m³
ΔE_f: -0.35 eV/atom
Calculated volume: 37.40 A^3/atom
Offset from the most stable computed form: 0.000 eV/f.u.
DFT total energy: -5.043 eV per atom
Space group: R3m

```
4
Lattice="2.100 1.212 9.795 -2.100 1.212 9.795 0.000 -2.424 9.795" Properties=species:S:1:pos:R:3 pbc="T T T"
Ba 0.000 0.000 0.000
Pm 0.000 0.000 16.103
Pm 0.000 0.000 22.979
Rh 0.000 0.000 4.850
```

---

Density functional theory data (GGA-PBE) for crystalline BaPmRh at its relaxed geometry.

## Properties
Density: 5493 kg/m³
ΔE_f: -0.37 eV/atom
Calculated volume: 38.82 A^3/atom
Offset from the most stable computed form: 0.000 eV/f.u.
DFT total energy: -5.049 eV per atom
Space group: P-3m1

```
6
Lattice="4.645 0.000 0.000 -2.323 4.023 0.000 0.000 0.000 12.463" Properties=species:S:1:pos:R:3 pbc="T T T"
Ba 0.000 0.000 2.308
Ba 0.000 0.000 10.155
Pm 0.000 2.682 7.335
Pm 2.323 1.341 5.129
Rh 0.000 2.682 4.228
Rh 2.323 1.341 8.235
```

---

Density functional theory data (GGA-PBE) for crystalline BaPmRh at its relaxed geometry.

## Properties
Density: 6612 kg/m³
ΔE_f: -0.28 eV/atom
Calculated volume: 32.25 A^3/atom
Offset from the most stable computed form: 0.275 eV/f.u.
DFT total energy: -4.957 eV per atom
Space group: I4mm

```
3
Lattice="-1.842 1.842 7.130 1.842 -1.842 7.130 1.842 1.842 -7.130" Properties=species:S:1:pos:R:3 pbc="T T T"
Ba 0.000 0.000 0.000
Pm 0.000 0.000 3.545
Rh 0.000 0.000 9.350
```

---

Density functional theory data (GGA-PBE) for crystalline Ba2PmSb3Rh4 at its relaxed geometry.

## Properties
Density: 8171 kg/m³
Calculated volume: 24.32 A^3/atom
DFT total energy: -5.775 eV per atom
Formation energy (no corrections): -738 meV per atom
Space group: P-4m2

```
10
Lattice="4.630 0.000 0.000 0.000 4.630 0.000 0.000 0.000 11.342" Properties=species:S:1:pos:R:3 pbc="T T T"
Ba 0.000 2.315 2.694
Ba 2.315 0.000 8.649
Pm 0.000 0.000 5.671
Sb 0.000 2.315 9.972
Sb 2.315 0.000 1.370
Sb 2.315 2.315 5.671
Rh 0.000 0.000 0.000
Rh 0.000 2.315 7.285
Rh 2.315 0.000 4.057
Rh 2.315 2.315 0.000
```

---

Density functional theory data (GGA-PBE) for crystalline BaPm2Ru at its relaxed geometry.

## Properties
Density: 5870 kg/m³
ΔE_f: -0.05 eV/atom
Calculated volume: 37.37 A^3/atom
Offset from the most stable computed form: 0.000 eV/f.u.
DFT total energy: -5.228 eV per atom
Space group: R-3m

```
4
Lattice="2.105 1.215 9.741 -2.105 1.215 9.741 0.000 -2.430 9.741" Properties=species:S:1:pos:R:3 pbc="T T T"
Ba 0.000 0.000 0.000
Pm 0.000 0.000 6.290
Pm 0.000 0.000 22.933
Ru 0.000 0.000 14.611
```

---

Density functional theory data (GGA-PBE) for crystalline BaPm2Ru at its relaxed geometry.

## Properties
Density: 6642 kg/m³
ΔE_f: -0.05 eV/atom
Calculated volume: 33.03 A^3/atom
Offset from the most stable computed form: 0.010 eV/f.u.
DFT total energy: -5.225 eV per atom
Space group: P4/mmm

```
4
Lattice="3.570 0.000 0.000 0.000 3.570 0.000 0.000 0.000 10.366" Properties=species:S:1:pos:R:3 pbc="T T T"
Ba 0.000 0.000 0.000
Pm 1.785 1.785 3.521
Pm 1.785 1.785 6.845
Ru 0.000 0.000 5.183
```